# NdSmIrCl | Alexandria via LeMat-Bulk | PBE-GGA | optimized geometry
data_NdSmIrCl
_cell_length_a 7.105
_cell_length_b 4.103
_cell_length_c 8.007
_cell_angle_alpha 90.00
_cell_angle_beta 107.15
_cell_angle_gamma 90.00
_symmetry_space_group_name_H-M 'C 1 m 1'
_symmetry_Int_Tables_number 8
loop_
_symmetry_equiv_pos_as_xyz
'x,y,z'
'x,-y,z'
'x+1/2,y+1/2,z'
'x+1/2,-y+1/2,z'
loop_
_atom_site_label
_atom_site_type_symbol
_atom_site_fract_x
_atom_site_fract_y
_atom_site_fract_z
Nd1 Nd 0.000 0.000 0.000
Sm1 Sm 0.201 0.000 0.602
Ir1 Ir 0.100 0.500 0.799
Cl1 Cl 0.273 0.500 0.316
# - Volume: 27.88 Å³ per atom
# - E_form (uncorrected): -1.16 eV per atom
# - Total DFT energy (no corrections): -6.212 eV/atom